# 1
# Cs2TeO2

A relaxed structure of Cs2TeO2 (PBE, Alexandria).

Lattice parameters (Å, degrees): 9.4329 9.4329 3.4411 90.00 90.00 90.00
Space group P4/mbm (No. 127)
Unique sites:
Cs (0.1407, 0.3593, 0.0000) x4
Te (0.0000, 0.0000, 0.0000) x2
O (0.1563, 0.6563, 0.5000) x4

Computed properties:
Raw formation energy (eV per atom): -0.0859
Fermi-level density of states (states/eV/f.u.): 4.80
Mass density (g/cm3): 4.614
Calculated total energy (eV/atom): -3.04



# 2
# Cs4TeO5

A relaxed structure of Cs4TeO5 (PBE, Alexandria).

Lattice parameters (Å, degrees): 8.9767 8.9767 6.2706 90.00 90.00 90.00
Space group I4 (No. 79)
Unique sites:
Cs (0.1047, 0.7042, 0.0000) x8
Te (0.0000, 0.0000, 0.5280) x2
O (0.0000, 0.0000, 0.8291) x2
O (0.0675, 0.7980, 0.4670) x8

Computed properties:
Raw formation energy (eV per atom): -1.3825
Fermi-level density of states (states/eV/f.u.): 0.00
Mass density (g/cm3): 4.859
Calculated total energy (eV/atom): -4.52



# 3
# CsTe2O4

A relaxed structure of CsTe2O4 (PBE, Alexandria).

Lattice parameters (Å, degrees): 7.1700 7.1700 11.3941 90.00 90.00 90.00
Space group I4_1/a (No. 88, origin choice 2)
Unique sites:
Cs (0.0000, 0.2500, 0.1250) x4
Te (0.0000, 0.0000, 0.5000) x8
O (0.2046, 0.4578, 0.6262) x16

Computed properties:
Raw formation energy (eV per atom): -0.9870
Fermi-level density of states (states/eV/f.u.): 2.04
Mass density (g/cm3): 5.127
Calculated total energy (eV/atom): -4.84



# 4
# Cs2Te2O7

A relaxed structure of Cs2Te2O7 (PBE, Alexandria).

Lattice parameters (Å, degrees): 6.6922 7.5961 7.1472 90.00 90.00 90.00
Space group Cmmm (No. 65)
Unique sites:
Cs (0.2465, 0.0000, 0.0000) x4
Te (0.0000, 0.2774, 0.5000) x4
O (0.0000, 0.0000, 0.5000) x2
O (0.0000, 0.5000, 0.3325) x4
O (0.2500, 0.2500, 0.3250) x8

Computed properties:
Raw formation energy (eV per atom): -0.8188
Fermi-level density of states (states/eV/f.u.): 4.95
Mass density (g/cm3): 5.786
Calculated total energy (eV/atom): -4.70



# 5
# Cs3TeO

A relaxed structure of Cs3TeO (PBE, Alexandria).

Lattice parameters (Å, degrees): 5.9078 5.9078 5.9078 90.00 90.00 90.00
Space group Pm-3m (No. 221)
Unique sites:
Cs (0.0000, 0.0000, 0.5000) x3
Te (0.5000, 0.5000, 0.5000) x1
O (0.0000, 0.0000, 0.0000) x1

Computed properties:
Raw formation energy (eV per atom): -0.9014
Fermi-level density of states (states/eV/f.u.): 12.79
Mass density (g/cm3): 4.367
Calculated total energy (eV/atom): -3.03
Energy above the lowest structure with this stoichiometry (meV per atom): 0



# 6
# Cs8Te2O

A relaxed structure of Cs8Te2O (PBE, Alexandria).

Lattice parameters (Å, degrees): 27.6082 5.5118 10.1795 90.00 103.19 90.00
Space group C2/m (No. 12)
Unique sites:
Cs (0.0213, 0.0000, 0.2569) x4
Cs (0.0726, 0.5000, 0.5857) x4
Cs (0.1800, 0.0000, 0.9443) x4
Cs (0.2066, 0.5000, 0.3501) x4
Te (0.2129, 0.5000, 0.7319) x4
O (0.0000, 0.0000, 0.5000) x2

Computed properties:
Raw formation energy (eV per atom): -0.7653
Fermi-level density of states (states/eV/f.u.): 2.91
Mass density (g/cm3): 2.938
Calculated total energy (eV/atom): -2.41



# 7
# CsTe2O6

A relaxed structure of CsTe2O6 (PBE, Alexandria).

Lattice parameters (Å, degrees): 7.4237 7.4237 18.4881 90.00 90.00 120.00
Space group R-3m (No. 166, hexagonal axes)
Unique sites:
Cs (0.0000, 0.0000, 0.1235) x6
Te (0.0000, 0.0000, 0.5000) x3
Te (0.0000, 0.5000, 0.0000) x9
O (0.0642, 0.5321, 0.1028) x18
O (0.0719, 0.5360, 0.3536) x18

Computed properties:
Raw formation energy (eV per atom): -1.1842
Fermi-level density of states (states/eV/f.u.): 0.19
Mass density (g/cm3): 5.466
Calculated total energy (eV/atom): -5.28



# 8
# Cs6Te2O

A relaxed structure of Cs6Te2O (PBE, Alexandria).

Lattice parameters (Å, degrees): 8.3398 8.3398 6.6716 90.00 90.00 120.00
Space group P-3m1 (No. 164)
Unique sites:
Cs (0.1711, 0.3421, 0.2719) x6
Te (0.3333, 0.6667, 0.7465) x2
O (0.0000, 0.0000, 0.5000) x1

Computed properties:
Raw formation energy (eV per atom): -1.0154
Mass density (g/cm3): 4.416
Calculated total energy (eV/atom): -2.83
Energy above the lowest structure with this stoichiometry (meV per atom): 0



# 9
# Cs2TeO4

A relaxed structure of Cs2TeO4 (PBE, Alexandria).

Lattice parameters (Å, degrees): 6.8794 7.2404 8.3495 90.00 110.71 90.00
Space group P2_1/m (No. 11)
Unique sites:
Cs (0.1513, 0.2500, 0.0002) x2
Cs (0.3161, 0.2500, 0.5692) x2
Te (0.2580, 0.7500, 0.7921) x2
O (0.0866, 0.5447, 0.7335) x4
O (0.3913, 0.7500, 0.0280) x2
O (0.4486, 0.7500, 0.6819) x2

Computed properties:
Raw formation energy (eV per atom): -1.3851
Fermi-level density of states (states/eV/f.u.): 0.00
Mass density (g/cm3): 3.905
Calculated total energy (eV/atom): -4.91
Energy above the lowest structure with this stoichiometry (meV per atom): 27



# 10
# CsTe2O

A relaxed structure of CsTe2O (PBE, Alexandria).

Lattice parameters (Å, degrees): 6.5097 6.5097 12.9638 90.00 90.00 90.00
Space group I4_1/amd (No. 141, origin choice 2)
Unique sites:
Cs (0.0000, 0.2500, 0.3750) x4
Te (0.0000, 0.0000, 0.0000) x8
O (0.0000, 0.2500, 0.8750) x4

Computed properties:
Raw formation energy (eV per atom): -0.6058
Fermi-level density of states (states/eV/f.u.): 0.76
Mass density (g/cm3): 4.886
Calculated total energy (eV/atom): -3.63



# 11
# Cs3Te2O7

A relaxed structure of Cs3Te2O7 (PBE, Alexandria).

Lattice parameters (Å, degrees): 4.1970 26.2573 4.1917 90.00 90.00 90.00
Space group Cmmm (No. 65)
Unique sites:
Cs (0.0000, 0.0000, 0.0000) x2
Cs (0.0000, 0.1754, 0.0000) x4
Te (0.0000, 0.4179, 0.5000) x4
O (0.0000, 0.0844, 0.5000) x4
O (0.0000, 0.3464, 0.5000) x4
O (0.0000, 0.4157, 0.0000) x4
O (0.0000, 0.5000, 0.5000) x2

Computed properties:
Raw formation energy (eV per atom): -1.1576
Fermi-level density of states (states/eV/f.u.): 2.42
Mass density (g/cm3): 5.506
Calculated total energy (eV/atom): -4.79



# 12
# Cs2TeO4

A relaxed structure of Cs2TeO4 (PBE, Alexandria).

Lattice parameters (Å, degrees): 8.7691 6.9089 11.8196 90.00 90.00 90.00
Space group Pnma (No. 62)
Unique sites:
Cs (0.0111, 0.2500, 0.2153) x4
Cs (0.1798, 0.2500, 0.5735) x4
Te (0.2181, 0.2500, 0.9134) x4
O (0.0115, 0.2500, 0.9448) x4
O (0.1711, 0.7500, 0.5469) x4
O (0.2334, 0.5312, 0.3305) x8

Computed properties:
Raw formation energy (eV per atom): -1.4119
Fermi-level density of states (states/eV/f.u.): 0.00
Mass density (g/cm3): 4.243
Calculated total energy (eV/atom): -4.94
Energy above the lowest structure with this stoichiometry (meV per atom): 0



# 13
# Cs4Te2O

A relaxed structure of Cs4Te2O (PBE, Alexandria).

Lattice parameters (Å, degrees): 5.7965 5.7965 19.8967 90.00 90.00 90.00
Space group I4/mmm (No. 139)
Unique sites:
Cs (0.0000, 0.0000, 0.1861) x4
Cs (0.0000, 0.5000, 0.0000) x4
Te (0.0000, 0.0000, 0.3756) x4
O (0.0000, 0.0000, 0.5000) x2

Computed properties:
Raw formation energy (eV per atom): -0.8394
Mass density (g/cm3): 3.988
Calculated total energy (eV/atom): -2.93



# 14
# CsTe2O

A relaxed structure of CsTe2O (PBE, Alexandria).

Lattice parameters (Å, degrees): 6.6301 6.6301 12.9174 90.00 90.00 120.00
Space group R-3m (No. 166, hexagonal axes)
Unique sites:
Cs (0.0000, 0.0000, 0.0000) x3
Te (0.0000, 0.0000, 0.3438) x6
O (0.0000, 0.0000, 0.5000) x3

Computed properties:
Raw formation energy (eV per atom): -0.2158
Fermi-level density of states (states/eV/f.u.): 4.51
Mass density (g/cm3): 4.094
Calculated total energy (eV/atom): -3.24



# 15
# Cs6Te2O

A relaxed structure of Cs6Te2O (PBE, Alexandria).

Lattice parameters (Å, degrees): 4.9979 16.7608 9.6543 90.00 90.00 90.00
Space group Amm2 (No. 38)
Unique sites:
Cs (0.0000, 0.0000, 0.0000) x2
Cs (0.0000, 0.1118, 0.6631) x4
Cs (0.5000, 0.0000, 0.3774) x2
Cs (0.5000, 0.2006, 0.9751) x4
Te (0.0000, 0.1664, 0.2748) x4
O (0.5000, 0.0000, 0.7714) x2

Computed properties:
Raw formation energy (eV per atom): -0.9029
Mass density (g/cm3): 4.388
Calculated total energy (eV/atom): -2.72
Energy above the lowest structure with this stoichiometry (meV per atom): 112



# 16
# Cs3TeO4

A relaxed structure of Cs3TeO4 (PBE, Alexandria).

Lattice parameters (Å, degrees): 6.6861 9.8257 6.6700 90.00 90.00 90.00
Space group Imm2 (No. 44)
Unique sites:
Cs (0.0000, 0.0000, 0.9997) x2
Cs (0.0000, 0.2413, 0.5000) x4
Te (0.0000, 0.5000, 0.9811) x2
O (0.0000, 0.3056, 0.0592) x4
O (0.2203, 0.5000, 0.8042) x4

Computed properties:
Raw formation energy (eV per atom): -1.3438
Fermi-level density of states (states/eV/f.u.): 1.03
Mass density (g/cm3): 4.474
Calculated total energy (eV/atom): -4.54



# 17
# CsThTeO5

A relaxed structure of CsThTeO5 (PBE, Alexandria).

Lattice parameters (Å, degrees): 8.1540 10.9109 8.4906 90.00 114.74 90.00
Space group C2/c (No. 15)
Unique sites:
Cs (0.0000, 0.1719, 0.2500) x4
Th (0.0000, 0.5000, 0.0000) x4
Te (0.0000, 0.1869, 0.7500) x4
O (0.0000, 0.4460, 0.2500) x4
O (0.0804, 0.2946, 0.6130) x8
O (0.1969, 0.0799, 0.8960) x8

Computed properties:
Raw formation energy (eV per atom): -2.0653
Fermi-level density of states (states/eV/f.u.): 3.33
Mass density (g/cm3): 5.543
Calculated total energy (eV/atom): -6.59



# 18
# Cs2ThTeO6

A relaxed structure of Cs2ThTeO6 (PBE, Alexandria).

Lattice parameters (Å, degrees): 8.7009 8.7009 8.7009 90.00 90.00 90.00
Space group Fm-3m (No. 225)
Unique sites:
Cs (0.2500, 0.2500, 0.2500) x8
Th (0.0000, 0.0000, 0.0000) x4
Te (0.0000, 0.0000, 0.5000) x4
O (0.0000, 0.0000, 0.2705) x24

Computed properties:
Raw formation energy (eV per atom): -2.0370
Fermi-level density of states (states/eV/f.u.): 0.00
Mass density (g/cm3): 7.275
Calculated total energy (eV/atom): -6.24



# 19
# CsThTe2O8

A relaxed structure of CsThTe2O8 (PBE, Alexandria).

Lattice parameters (Å, degrees): 6.2331 6.2331 8.8232 90.00 90.00 120.00
Space group P-3 (No. 147)
Unique sites:
Cs (0.0000, 0.0000, 0.0000) x1
Th (0.0000, 0.0000, 0.5000) x1
Te (0.3333, 0.6667, 0.7358) x2
O (0.1669, 0.3362, 0.6589) x6
O (0.3333, 0.6667, 0.9437) x2

Computed properties:
Raw formation energy (eV per atom): -1.6540
Fermi-level density of states (states/eV/f.u.): 5.47
Mass density (g/cm3): 4.185
Calculated total energy (eV/atom): -6.17



# 20
# CsThTeO6

A relaxed structure of CsThTeO6 (PBE, Alexandria).

Lattice parameters (Å, degrees): 5.8727 5.8727 6.5953 90.00 90.00 120.00
Space group P312 (No. 149)
Unique sites:
Cs (0.0000, 0.0000, 0.0000) x1
Th (0.6667, 0.3333, 0.5000) x1
Te (0.3333, 0.6667, 0.5000) x1
O (0.0456, 0.4098, 0.3304) x6

Computed properties:
Raw formation energy (eV per atom): -1.8615
Fermi-level density of states (states/eV/f.u.): 7.50
Mass density (g/cm3): 4.961
Calculated total energy (eV/atom): -6.44